Record 1
Density functional theory data (PBE) for an optimized crystal structure of RuW2.

Cell: 4.4666 4.4666 2.7342 Å, 90.00 90.00 120.00°
Space group P6/mmm (No. 191)
Inequivalent atoms, fractional coordinates:
Ru (0.0000, 0.0000, 0.0000)
W (0.3333, 0.6667, 0.5000)

Record 2
Density functional theory data (PBE) for an optimized crystal structure of RuW8.

Cell: 9.511 9.511 3.178 Å, 90.00 90.00 90.00°
Space group I4/mmm (No. 139)
Inequivalent atoms, fractional coordinates:
Ru (0.000, 0.000, 0.000)
W (0.000, 0.331, 0.000)
W (0.168, 0.168, 0.500)

Record 3
Density functional theory data (PBE) for an optimized crystal structure of Ru3W.

Cell: 2.7603 2.7603 8.7791 Å, 90.00 90.00 120.00°
Space group P-6m2 (No. 187)
Inequivalent atoms, fractional coordinates:
Ru (0.0000, 0.0000, 0.0000)
Ru (0.6667, 0.3333, 0.2443)
W (0.0000, 0.0000, 0.5000)

Number 1: D(E_F) 1.715 states/eV/atom, energy relative to the elements 0.49 eV per atom. Number 2: D(E_F) 0.641 states/eV/atom, energy relative to the elements 0.07 eV per atom. Number 3: D(E_F) 0.772 states/eV/atom, energy relative to the elements 0.05 eV per atom.